The following is a PBE calculation of a relaxed Ba2Sr2UO6 crystal, from the Alexandria database. Values from VASP.

```
&SYSTEM
  ibrav = 0, nat = 11, ntyp = 4
/
ATOMIC_SPECIES
Ba 137.33 Ba.upf
Sr 87.62 Sr.upf
U 238.03 U.upf
O 16.00 O.upf
CELL_PARAMETERS angstrom
-5.5054 2.5093 2.2734
-0.4129 -5.8774 -2.6571
2.9234 -1.3976 5.3968
ATOMIC_POSITIONS crystal
Ba 0.3443 0.6557 0.5000
Ba 0.6557 0.3443 0.5000
Sr 0.8308 0.1692 0.0000
Sr 0.1692 0.8308 0.0000
U 0.0000 0.0000 0.5000
O 0.8247 0.8247 0.7291
O 0.0411 0.3571 0.7210
O 0.1753 0.1753 0.2709
O 0.3571 0.0411 0.7210
O 0.9589 0.6429 0.2790
O 0.6429 0.9589 0.2790
```

Its raw formation energy is -2.71 eV/atom. For the total energy, the calculation gives -7.10 eV/atom. The value obtained for the density of states at the Fermi level is 4.42 states/eV/cell.